one) DFT (PBE-GGA) results for a geometry-optimized VCrBr2 structure.

a = 5.374 Å, b = 5.374 Å, c = 15.044 Å
α = 90.00°, β = 90.00°, γ = 90.00°
Space group I-42d (No. 122)
Asymmetric unit:
V 0.000 0.000 0.000 x4
Cr 0.000 0.000 0.500 x4
Br 0.240 0.250 0.125 x8


two) DFT (PBE-GGA) results for a geometry-optimized VCrBr2 structure.

a = 7.003 Å, b = 7.003 Å, c = 7.003 Å
α = 90.00°, β = 90.00°, γ = 90.00°
Space group Fm-3m (No. 225)
Asymmetric unit:
V 0.000 0.000 0.000 x4
Cr 0.000 0.000 0.500 x4
Br 0.250 0.250 0.250 x8


one) is preferred energetically. Next in line: 11.4 kJ/mol of atoms higher.


one) DFT (PBE-GGA) results for a geometry-optimized CrW2Br structure.

a = 3.183 Å, b = 4.893 Å, c = 9.009 Å
α = 90.00°, β = 90.00°, γ = 90.00°
Space group Cmm2 (No. 35)
Asymmetric unit:
Cr 0.000 0.000 0.000 x2
W 0.000 0.000 0.544 x2
W 0.000 0.500 0.772 x2
Br 0.000 0.500 0.224 x2


two) DFT (PBE-GGA) results for a geometry-optimized CrW2Br structure.

a = 2.994 Å, b = 2.994 Å, c = 7.053 Å
α = 90.00°, β = 90.00°, γ = 90.00°
Space group P4/mmm (No. 123)
Asymmetric unit:
Cr 0.000 0.000 0.000 x1
W 0.500 0.500 0.214 x2
Br 0.000 0.000 0.500 x1


one) is preferred energetically. Next in line: 1.7 kJ/mol of atoms higher.


one) DFT (PBE-GGA) results for a geometry-optimized CrW2Br structure.

a = 2.9859 Å, b = 2.9859 Å, c = 25.1797 Å
α = 90.00°, β = 90.00°, γ = 120.00°
Space group R-3m (No. 166, hexagonal axes)
Asymmetric unit:
Cr 0.0000 0.0000 0.0000 x3
W 0.0000 0.0000 0.2577 x6
Br 0.0000 0.0000 0.5000 x3


two) DFT (PBE-GGA) results for a geometry-optimized CrW2Br structure.

a = 4.516 Å, b = 4.516 Å, c = 6.226 Å
α = 90.00°, β = 90.00°, γ = 90.00°
Space group I-4m2 (No. 119)
Asymmetric unit:
Cr 0.000 0.000 0.000 x2
W 0.000 0.000 0.500 x2
W 0.000 0.500 0.250 x2
Br 0.000 0.500 0.750 x2


one) is preferred energetically. Next in line: 45.1 kJ/mol of atoms higher.


one) DFT (PBE-GGA) results for a geometry-optimized CrW2Br structure.

a = 3.756 Å, b = 3.756 Å, c = 9.357 Å
α = 90.00°, β = 90.00°, γ = 90.00°
Space group I4/mmm (No. 139)
Asymmetric unit:
Cr 0.000 0.000 0.000 x2
W 0.000 0.500 0.250 x4
Br 0.000 0.000 0.500 x2


two) DFT (PBE-GGA) results for a geometry-optimized CrW2Br structure.

a = 3.213 Å, b = 3.119 Å, c = 7.403 Å
α = 90.00°, β = 90.15°, γ = 90.00°
Space group Pm (No. 6)
Asymmetric unit:
Cr 0.000 0.000 0.000 x1
W 0.002 0.000 0.393 x1
W 0.501 0.500 0.193 x1
Br 0.010 0.500 0.691 x1


two) is preferred energetically. Next in line: 61.3 kJ/mol of atoms higher.


one) DFT (PBE-GGA) results for a geometry-optimized CrW2Br structure.

a = 3.393 Å, b = 3.393 Å, c = 7.002 Å
α = 90.00°, β = 90.00°, γ = 90.00°
Space group P4mm (No. 99)
Asymmetric unit:
Cr 0.000 0.000 0.000 x1
W 0.000 0.000 0.319 x1
W 0.500 0.500 0.146 x1
Br 0.500 0.500 0.753 x1


two) DFT (PBE-GGA) results for a geometry-optimized CrW2Br structure.

a = 4.498 Å, b = 3.038 Å, c = 4.679 Å
α = 90.00°, β = 90.68°, γ = 90.00°
Space group P2/m (No. 10)
Asymmetric unit:
Cr 0.000 0.000 0.000 x1
W 0.000 0.500 0.500 x1
W 0.500 0.000 0.500 x1
Br 0.500 0.500 0.000 x1


three) DFT (PBE-GGA) results for a geometry-optimized CrW2Br structure.

a = 5.205 Å, b = 8.598 Å, c = 2.905 Å
α = 90.00°, β = 90.00°, γ = 90.00°
Space group Cmmm (No. 65)
Asymmetric unit:
Cr 0.000 0.000 0.000 x2
W 0.250 0.250 0.500 x4
Br 0.000 0.500 0.000 x2


one) is preferred energetically. Next in line: 31.8 kJ/mol of atoms higher.


one) DFT (PBE-GGA) results for a geometry-optimized CrW2Br structure.

a = 9.551 Å, b = 3.030 Å, c = 4.697 Å
α = 90.00°, β = 110.50°, γ = 90.00°
Space group Cm (No. 8)
Asymmetric unit:
Cr 0.000 0.000 0.000 x2
W 0.007 0.500 0.425 x2
W 0.228 0.500 0.137 x2
Br 0.268 0.000 0.709 x2


two) DFT (PBE-GGA) results for a geometry-optimized CrW2Br structure.

a = 9.579 Å, b = 3.046 Å, c = 4.562 Å
α = 90.00°, β = 98.51°, γ = 90.00°
Space group C2/m (No. 12)
Asymmetric unit:
Cr 0.000 0.000 0.000 x2
W 0.234 0.500 0.218 x4
Br 0.000 0.500 0.500 x2


three) DFT (PBE-GGA) results for a geometry-optimized CrW2Br structure.

a = 3.749 Å, b = 3.749 Å, c = 4.778 Å
α = 90.00°, β = 90.00°, γ = 90.00°
Space group P4/mmm (No. 123)
Asymmetric unit:
Cr 0.000 0.000 0.000 x1
W 0.000 0.500 0.500 x2
Br 0.500 0.500 0.000 x1


four) DFT (PBE-GGA) results for a geometry-optimized CrW2Br structure.

a = 3.049 Å, b = 4.452 Å, c = 9.399 Å
α = 90.00°, β = 90.00°, γ = 90.00°
Space group Immm (No. 71)
Asymmetric unit:
Cr 0.000 0.000 0.000 x2
W 0.000 0.500 0.245 x4
Br 0.000 0.000 0.500 x2


two) is preferred energetically. Next in line: 5.8 kJ/mol of atoms higher.


one) DFT (PBE-GGA) results for a geometry-optimized CrW2Br structure.

a = 3.055 Å, b = 4.810 Å, c = 8.972 Å
α = 90.00°, β = 90.00°, γ = 90.00°
Space group Cmmm (No. 65)
Asymmetric unit:
Cr 0.000 0.000 0.000 x2
W 0.000 0.500 0.221 x4
Br 0.000 0.000 0.500 x2


two) DFT (PBE-GGA) results for a geometry-optimized CrW2Br structure.

a = 6.270 Å, b = 6.270 Å, c = 6.270 Å
α = 90.00°, β = 90.00°, γ = 90.00°
Space group Fm-3m (No. 225)
Asymmetric unit:
Cr 0.000 0.000 0.000 x4
W 0.250 0.250 0.250 x8
Br 0.000 0.000 0.500 x4


one) is preferred energetically. Next in line: 38.6 kJ/mol of atoms higher.


one) DFT (PBE-GGA) results for a geometry-optimized Cr2WBr structure.

a = 5.729 Å, b = 7.030 Å, c = 3.016 Å
α = 90.00°, β = 90.00°, γ = 90.00°
Space group Cmmm (No. 65)
Asymmetric unit:
Cr 0.250 0.250 0.000 x4
W 0.000 0.000 0.500 x2
Br 0.000 0.500 0.500 x2


two) DFT (PBE-GGA) results for a geometry-optimized Cr2WBr structure.

a = 4.143 Å, b = 4.143 Å, c = 7.329 Å
α = 90.00°, β = 90.00°, γ = 90.00°
Space group I4/mmm (No. 139)
Asymmetric unit:
Cr 0.000 0.500 0.250 x4
W 0.000 0.000 0.000 x2
Br 0.000 0.000 0.500 x2


one) is preferred energetically. Next in line: 22.0 kJ/mol of atoms higher.


one) DFT (PBE-GGA) results for a geometry-optimized Cr2WBr structure.

a = 3.0570 Å, b = 3.0570 Å, c = 24.5502 Å
α = 90.00°, β = 90.00°, γ = 120.00°
Space group R3m (No. 160, hexagonal axes)
Asymmetric unit:
Cr 0.0000 0.0000 0.0000 x3
Cr 0.0000 0.0000 0.2568 x3
W 0.0000 0.0000 0.5218 x3
Br 0.0000 0.0000 0.7445 x3


two) DFT (PBE-GGA) results for a geometry-optimized Cr2WBr structure.

a = 4.394 Å, b = 4.394 Å, c = 2.982 Å
α = 90.00°, β = 90.00°, γ = 90.00°
Space group P4/mmm (No. 123)
Asymmetric unit:
Cr 0.000 0.500 0.000 x2
W 0.000 0.000 0.500 x1
Br 0.500 0.500 0.500 x1


three) DFT (PBE-GGA) results for a geometry-optimized Cr2WBr structure.

a = 3.403 Å, b = 5.038 Å, c = 8.052 Å
α = 90.00°, β = 90.00°, γ = 90.00°
Space group Cmmm (No. 65)
Asymmetric unit:
Cr 0.000 0.000 0.231 x4
W 0.000 0.500 0.000 x2
Br 0.000 0.500 0.500 x2


three) is preferred energetically. Next in line: 5.1 kJ/mol of atoms higher.


one) DFT (PBE-GGA) results for a geometry-optimized CrWBr structure.

a = 5.881 Å, b = 5.881 Å, c = 5.881 Å
α = 90.00°, β = 90.00°, γ = 90.00°
Space group F-43m (No. 216)
Asymmetric unit:
Cr 0.000 0.000 0.000 x4
W 0.250 0.250 0.250 x4
Br 0.250 0.250 0.750 x4


two) DFT (PBE-GGA) results for a geometry-optimized CrWBr structure.

a = 12.069 Å, b = 3.054 Å, c = 3.165 Å
α = 90.00°, β = 104.10°, γ = 90.00°
Space group Cm (No. 8)
Asymmetric unit:
Cr 0.000 0.000 0.000 x2
W 0.107 0.500 0.637 x2
Br 0.296 0.000 0.838 x2


three) DFT (PBE-GGA) results for a geometry-optimized CrWBr structure.

a = 3.232 Å, b = 5.211 Å, c = 12.720 Å
α = 90.00°, β = 90.00°, γ = 90.00°
Space group Fmm2 (No. 42)
Asymmetric unit:
Cr 0.000 0.000 0.000 x4
W 0.000 0.000 0.368 x4
Br 0.000 0.000 0.673 x4


two) is preferred energetically. Next in line: 12.3 kJ/mol of atoms higher.


one) DFT (PBE-GGA) results for a geometry-optimized CrWBr structure.

a = 4.2130 Å, b = 4.2130 Å, c = 2.9411 Å
α = 90.00°, β = 90.00°, γ = 120.00°
Space group P-6m2 (No. 187)
Asymmetric unit:
Cr 0.0000 0.0000 0.0000 x1
W 0.6667 0.3333 0.5000 x1
Br 0.3333 0.6667 0.0000 x1


two) DFT (PBE-GGA) results for a geometry-optimized CrWBr structure.

a = 3.1863 Å, b = 3.1863 Å, c = 6.0209 Å
α = 90.00°, β = 90.00°, γ = 120.00°
Space group P3m1 (No. 156)
Asymmetric unit:
Cr 0.0000 0.0000 0.0000 x1
W 0.6667 0.3333 0.2519 x1
Br 0.3333 0.6667 0.6482 x1


three) DFT (PBE-GGA) results for a geometry-optimized CrWBr structure.

a = 6.053 Å, b = 6.053 Å, c = 6.053 Å
α = 90.00°, β = 90.00°, γ = 90.00°
Space group F-43m (No. 216)
Asymmetric unit:
Cr 0.000 0.000 0.000 x4
W 0.250 0.250 0.250 x4
Br 0.000 0.000 0.500 x4


two) is preferred energetically. Next in line: 50.4 kJ/mol of atoms higher.


one) DFT (PBE-GGA) results for a geometry-optimized Cr3WBr structure.

a = 4.859 Å, b = 4.859 Å, c = 4.859 Å
α = 90.00°, β = 90.00°, γ = 90.00°
Space group Pm-3m (No. 221)
Asymmetric unit:
Cr 0.000 0.000 0.500 x3
W 0.000 0.000 0.000 x1
Br 0.500 0.500 0.500 x1


two) DFT (PBE-GGA) results for a geometry-optimized Cr3WBr structure.

a = 4.274 Å, b = 4.274 Å, c = 4.274 Å
α = 90.00°, β = 90.00°, γ = 90.00°
Space group Pm-3m (No. 221)
Asymmetric unit:
Cr 0.000 0.000 0.500 x3
W 0.500 0.500 0.500 x1
Br 0.000 0.000 0.000 x1


one) is preferred energetically. Next in line: 17.5 kJ/mol of atoms higher.